# 1
A plane-wave DFT calculation with PBE-GGA was carried out for a geometry-optimized TmZn6GaNi structure.

Output
Its total energy is -2.3570 eV/atom. For the calculated volume, the calculation gives 318.80 Å³ per cell. As for the formation energy: -0.3 eV/f.u. The density of states at the Fermi level comes out at 7.59 states/eV per cell. The space group is Imma, No. 74.

Lattice parameters (Å, degrees): 7.7155 7.7155 7.7155 127.56 111.73 91.15
Fractional positions:
Tm1 0.4432 0.1932 0.2500
Tm2 0.5568 0.8068 0.7500
Zn1 0.1379 0.4299 0.3203
Zn2 0.1379 0.8176 0.7080
Zn3 0.1724 0.9224 0.2500
Zn4 0.2463 0.4963 0.7500
Zn5 0.3904 0.1824 0.8203
Zn6 0.3904 0.5701 0.2080
Zn7 0.6096 0.4299 0.7920
Zn8 0.6096 0.8176 0.1797
Zn9 0.7537 0.5037 0.2500
Zn10 0.8276 0.0776 0.7500
Zn11 0.8621 0.1824 0.2920
Zn12 0.8621 0.5701 0.6797
Ga1 0.0000 0.0000 0.5000
Ga2 0.0000 0.5000 0.0000
Ni1 0.0000 0.0000 0.0000
Ni2 0.5000 0.0000 0.5000

=====

# 2
A plane-wave DFT calculation with PBE-GGA was carried out for a geometry-optimized MoPbCl2 structure.

Output
Its total energy is -4.4479 eV/atom. Its formation energy (no corrections) is 0.11 eV/atom. For the calculated volume, the calculation gives 86.38 Å³ per cell. The relative energy among the computed polymorphs is 31.4 kJ/mol of atoms. The density of states at the Fermi level comes out at 1.74 states/eV per cell. The space group is P2/m, No. 10.

Lattice parameters (Å, degrees): 3.4368 4.3665 5.8005 90.00 97.11 90.00
Fractional positions:
Mo1 0.0000 0.0000 0.0000
Pb1 0.5000 0.0000 0.5000
Cl1 0.1332 0.5000 0.7790
Cl2 0.8668 0.5000 0.2210

=====

# 3
A plane-wave DFT calculation with PBE-GGA was carried out for a geometry-optimized AlGa2Pd structure.

Output
Its total energy is -3.9765 eV/atom. For the calculated volume, the calculation gives 65.15 Å³ per cell. As for the formation energy: -0.9 eV/f.u. The density of states at the Fermi level comes out at 1.03 states/eV per cell. The space group is P4/mmm, No. 123.

Lattice parameters (Å, degrees): 3.1056 3.1056 6.7545 90.00 90.00 90.00
Fractional positions:
Al1 0.0000 0.0000 0.0000
Ga1 0.5000 0.5000 0.2625
Ga2 0.5000 0.5000 0.7375
Pd1 0.0000 0.0000 0.5000